The following is a DFT calculation (PBE-GGA) of a geometry-optimized HfNbCuSi structure.

The structure in CIF format:
```
data_HfNbCuSi
_symmetry_space_group_name_H-M 'P 1'
_symmetry_Int_Tables_number 1
_cell_length_a 4.502
_cell_length_b 4.502
_cell_length_c 4.502
_cell_angle_alpha 60.00
_cell_angle_beta 60.00
_cell_angle_gamma 60.00
loop_
_symmetry_equiv_pos_as_xyz
'x,y,z'
loop_
_atom_site_label
_atom_site_type_symbol
_atom_site_fract_x
_atom_site_fract_y
_atom_site_fract_z
Cu1 Cu 0.750 0.750 0.750
Hf1 Hf 0.500 0.500 0.500
Nb1 Nb 0.250 0.250 0.250
Si1 Si 0.000 0.000 0.000
```

Results
- Total DFT energy (no corrections): -7.1294 eV/atom